Here is LiTlPAu2 after structural relaxation from the Alexandria database. Energies are from PBE.

abc: 4.868 4.868 4.736
angles: 90.00 90.00 90.00
Fractional positions:
Li: 0.000 0.000 0.000
Tl: 0.500 0.500 0.000
P: 0.000 0.000 0.500
Au: 0.000 0.500 0.500
Au: 0.500 0.000 0.500

Output
As for the space group: No. 123. The energy of formation from the pure elements comes out at -0.1512 eV/atom.

***

Here is CaY2Ni2 after structural relaxation from the Alexandria database. Energies are from PBE.

abc: 6.450 6.450 6.450
angles: 137.65 137.65 61.44
Fractional positions:
Ca: 0.000 0.000 0.000
Y: 0.250 0.750 0.500
Y: 0.750 0.250 0.500
Ni: 0.395 0.395 0.000
Ni: 0.605 0.605 0.000

Output
The value obtained for the excess energy over the best structure of this formula in the dataset is 97 meV per atom. As for the space group: No. 139. The energy of formation from the pure elements comes out at -0.1477 eV/atom.

***

Here is Ce2PmGa after structural relaxation from the Alexandria database. Energies are from PBE.

abc: 3.876 3.876 7.458
angles: 90.00 90.00 90.00
Fractional positions:
Ce: 0.000 0.000 0.189
Ce: 0.000 0.000 0.811
Pm: 0.500 0.500 0.500
Ga: 0.500 0.500 0.000

Output
The value obtained for the excess energy over the best structure of this formula in the dataset is 113 meV per atom. As for the space group: No. 123. The energy of formation from the pure elements comes out at -0.1737 eV/atom.

***

Here is Ba2Zn4Si3Pd after structural relaxation from the Alexandria database. Energies are from PBE.

abc: 4.476 4.476 10.487
angles: 90.00 90.00 90.00
Fractional positions:
Ba: 0.000 0.500 0.250
Ba: 0.500 0.000 0.750
Zn: 0.000 0.000 0.000
Zn: 0.000 0.500 0.624
Zn: 0.500 0.000 0.376
Zn: 0.500 0.500 0.000
Si: 0.000 0.500 0.870
Si: 0.500 0.000 0.130
Si: 0.500 0.500 0.500
Pd: 0.000 0.000 0.500

Output
The calculation puts the formation energy from raw total energies at -0.33 eV/atom. As for the space group: No. 115.